DFT (GGA-PBE) results for a relaxed structure of YHgIr.

Cell: 4.729 4.729 3.317 Å, 90.00 90.00 120.00°
Element x y z (fractional)
Y  0.000  0.000  0.000
Hg  0.667  0.333  0.500
Ir  0.333  0.667  0.500

- symmetry = P-6m2
- energy of formation from the pure elements (eV/f.u.) = -0.95

---

DFT (GGA-PBE) results for a relaxed structure of YHgIr.

Cell: 5.383 5.383 5.383 Å, 142.54 138.29 57.30°
Element x y z (fractional)
Y  0.000  0.000  0.000
Hg  0.685  0.685  0.000
Ir  0.353  0.353  0.000

- symmetry = Imm2
- energy of formation from the pure elements (eV/f.u.) = -1.12

---

DFT (GGA-PBE) results for a relaxed structure of Y3HgIr.

Cell: 5.379 5.379 5.379 Å, 90.00 90.00 90.00°
Element x y z (fractional)
Y  0.000  0.000  0.500
Y  0.000  0.500  0.000
Y  0.500  0.000  0.000
Hg  0.500  0.500  0.500
Ir  0.000  0.000  0.000

- polymorph energy (0 for the lowest one) (meV per atom) = 248.0
- symmetry = Pm-3m
- energy of formation from the pure elements (eV/f.u.) = -1.68

---

DFT (GGA-PBE) results for a relaxed structure of YHg3Ir.

Cell: 5.165 5.165 5.165 Å, 90.00 90.00 90.00°
Element x y z (fractional)
Y  0.000  0.000  0.000
Hg  0.000  0.500  0.500
Hg  0.500  0.000  0.500
Hg  0.500  0.500  0.000
Ir  0.500  0.500  0.500

- polymorph energy (0 for the lowest one) (meV per atom) = 0.0
- symmetry = Pm-3m
- energy of formation from the pure elements (eV/f.u.) = 1.46

---

DFT (GGA-PBE) results for a relaxed structure of YHgIr.

Cell: 4.749 4.749 4.749 Å, 60.00 60.00 60.00°
Element x y z (fractional)
Y  0.000  0.000  0.000
Hg  0.250  0.250  0.250
Ir  0.750  0.750  0.750

- symmetry = F-43m
- energy of formation from the pure elements (eV/f.u.) = 0.22

---

DFT (GGA-PBE) results for a relaxed structure of Y2HgIr.

Cell: 8.167 8.167 8.167 Å, 152.86 152.86 38.76°
Element x y z (fractional)
Y  0.168  0.168  0.000
Y  0.832  0.832  0.000
Hg  0.500  0.500  0.000
Ir  0.000  0.000  0.000

- symmetry = I4/mmm
- energy of formation from the pure elements (eV/f.u.) = 0.29

---

- What is the energy of formation from the pure elements in the fifth record?
  0.22 eV/f.u.